VASP calculation (PBE+U) on a relaxed structure of DyScV2O8.

Values from the calculation:
* E: -97.2 eV for the cell shown
* space-group type: No. 119

Cell: 5.890 5.890 5.890 Å, 106.43 106.43 115.75°
Positions (direct):
Dy1 0.000 0.000 0.000
Sc1 0.250 0.750 0.500
V1 0.750 0.250 0.500
V2 0.500 0.500 0.000
O1 0.383 0.067 0.316
O2 0.326 0.519 0.193
O3 0.326 0.133 0.807
O4 0.751 0.067 0.684
O5 0.867 0.674 0.193
O6 0.933 0.249 0.316
O7 0.933 0.617 0.684
O8 0.481 0.674 0.807